KYHf | PBE | optimized geometry

Lattice parameters (Å, degrees): 4.4549 4.5535 12.9341 79.53 89.99 90.00
Sites, in units of the cell vectors:
Y  0.2908  0.5379  0.8029
Y  0.7909  0.6541  0.5781
K  0.2894  0.2772  0.3324
K  0.7893  0.9150  0.0486
Hf  0.7909  0.0605  0.7590
Hf  0.2910  0.1314  0.6220

Summary:
E_form ... 0.35 eV per atom
Polymorph energy (0 for the lowest one) ... 41.9 meV/atom
Crystal system ... monoclinic